A | Compound: Ce3Th2O9
Source: the Alexandria database
Functional: PBE
Structure: optimized geometry

Space group: Imm2 (44)
Spin magnetization (Bohr magnetons per cell): 2.040

Lattice parameters (Å, degrees): 10.423 10.423 10.423 158.32 38.37 148.73
Sites, in units of the cell vectors:
Ce1 0.000 0.000 0.000
Ce2 0.344 0.949 0.395
Ce3 0.554 0.949 0.605
Th1 0.151 0.953 0.197
Th2 0.756 0.953 0.803
O1 0.000 0.701 0.299
O2 0.112 0.215 0.897
O3 0.221 0.721 0.500
O4 0.318 0.215 0.103
O5 0.403 0.701 0.701
O6 0.503 0.201 0.301
O7 0.630 0.718 0.912
O8 0.806 0.718 0.088
O9 0.900 0.201 0.699

=====

B | Compound: Ce3Th2O9
Source: the Alexandria database
Functional: PBE
Structure: optimized geometry

Space group: Cm (8)
Spin magnetization (Bohr magnetons per cell): 2.033

Lattice parameters (Å, degrees): 6.858 6.858 9.677 118.21 118.21 33.25
Sites, in units of the cell vectors:
Ce1 0.000 0.000 0.000
Ce2 0.612 0.612 0.429
Ce3 0.825 0.825 0.217
Th1 0.205 0.205 0.819
Th2 0.403 0.403 0.604
O1 0.024 0.024 0.254
O2 0.197 0.197 0.071
O3 0.214 0.214 0.578
O4 0.417 0.417 0.365
O5 0.417 0.417 0.879
O6 0.607 0.607 0.668
O7 0.796 0.796 0.441
O8 0.805 0.805 0.964
O9 0.999 0.999 0.749

=====

C | Compound: Ce3Th2O9
Source: the Alexandria database
Functional: PBE
Structure: optimized geometry

Space group: I-4m2 (119)
Spin magnetization (Bohr magnetons per cell): 2.125

Lattice parameters (Å, degrees): 14.198 14.198 14.198 164.02 164.02 22.67
Sites, in units of the cell vectors:
Ce1 0.000 0.000 0.000
Ce2 0.405 0.405 0.000
Ce3 0.595 0.595 0.000
Th1 0.194 0.194 0.000
Th2 0.806 0.806 0.000
O1 0.052 0.552 0.500
O2 0.155 0.655 0.500
O3 0.345 0.845 0.500
O4 0.448 0.948 0.500
O5 0.548 0.048 0.500
O6 0.648 0.148 0.500
O7 0.750 0.250 0.500
O8 0.852 0.352 0.500
O9 0.952 0.452 0.500

=====

Most stable structure - B; separation to the second - 10 meV per atom.